Entry 1:
VASP calculation (PBE) on a relaxed structure of Ba2CuS2Cl2.

Cell lengths 9.2295, 9.2295, 9.2295 Å; angles 150.80, 150.80, 41.77 degrees
Element x y z (fractional)
1 Ba 0.1269 0.1269 0.0000
2 Ba 0.8731 0.8731 0.0000
3 Cu 0.5000 0.5000 0.0000
4 S 0.0000 0.5000 0.5000
5 S 0.5000 0.0000 0.5000
6 Cl 0.3138 0.3138 0.0000
7 Cl 0.6862 0.6862 0.0000

## Properties
Spin magnetization (μB per formula unit): 0.0
Raw formation energy (eV/f.u.): -11.9
Distance to the lowest polymorph of the same formula (eV per atom): 0.000


Entry 2:
VASP calculation (PBE) on a relaxed structure of BaCuSCl2.

Cell lengths 5.9134, 5.9134, 6.2333 Å; angles 90.00, 90.00, 90.00 degrees
Element x y z (fractional)
1 Ba 0.0000 0.0000 0.0000
2 Cu 0.5000 0.5000 0.5000
3 S 0.0000 0.0000 0.5000
4 Cl 0.0000 0.5000 0.0000
5 Cl 0.5000 0.0000 0.0000

## Properties
Spin magnetization (μB per formula unit): 1.0
Raw formation energy (eV/f.u.): -1.6
Distance to the lowest polymorph of the same formula (eV per atom): 0.957